Cs3Tb2FeO6 | PBE with a Hubbard U | relaxed

Total moment, Bohr magnetons per cell: 9.9
Raw total energy, eV per cell: -145.1

a = 6.0255 Å, b = 10.4176 Å, c = 7.1134 Å
α = 90.00°, β = 106.32°, γ = 90.00°
With the nearest neighbours (Å) after each atom.
Space group C2/m (No. 12)
Inequivalent atoms, fractional coordinates:
Cs1 0.0000 0.0000 0.0000 x2  6 O 3.03-3.12
Cs2 0.0000 0.3348 0.0000 x4  6 O 3.01-3.16
Tb1 0.0000 0.1667 0.5000 x4  6 O 2.34-2.35
Fe1 0.0000 0.5000 0.5000 x2  6 O 2.17-2.20
O1 0.2097 0.3440 0.6604 x8  1 Fe 2.17, 2 Tb 2.34-2.35
O2 0.2395 0.0000 0.6635 x4  1 Fe 2.20, 2 Tb 2.35